Record 1
A relaxed HgRh2Cl crystal. Source: the Alexandria database, functional GGA-PBE.

Summary:
Formation energy from raw total energies = 615 meV/atom
DOS at the Fermi energy = 4.6 states/eV/f.u.
ρ = 10.390 g/cm3

a = 4.0861 Å, b = 4.0861 Å, c = 8.4591 Å
α = 90.00°, β = 90.00°, γ = 90.00°
Space group I-4m2 (No. 119)
One atom of each set of equivalent atoms:
Hg 0.0000 0.0000 0.0000 [2 per cell]
Rh 0.0000 0.0000 0.5000 [2 per cell]
Rh 0.0000 0.5000 0.7500 [2 per cell]
Cl 0.0000 0.5000 0.2500 [2 per cell]

=====

Record 2
A relaxed HgRh2Cl crystal. Source: the Alexandria database, functional GGA-PBE.

Summary:
Formation energy from raw total energies = 448 meV/atom
DOS at the Fermi energy = 4.0 states/eV/f.u.
ρ = 10.561 g/cm3

a = 2.9449 Å, b = 4.5225 Å, c = 5.2161 Å
α = 90.00°, β = 90.00°, γ = 90.00°
Space group Pmmm (No. 47)
One atom of each set of equivalent atoms:
Hg 0.0000 0.0000 0.0000 [1 per cell]
Rh 0.0000 0.5000 0.5000 [1 per cell]
Rh 0.5000 0.5000 0.0000 [1 per cell]
Cl 0.5000 0.0000 0.5000 [1 per cell]

=====

Record 3
A relaxed Hg2RhCl6 crystal. Source: the Alexandria database, functional GGA-PBE.

Summary:
Formation energy from raw total energies = -488 meV/atom
DOS at the Fermi energy = 0.4 states/eV/f.u.
ρ = 4.827 g/cm3

a = 13.6021 Å, b = 3.9011 Å, c = 9.7024 Å
α = 90.00°, β = 106.67°, γ = 90.00°
Space group C2/m (No. 12)
One atom of each set of equivalent atoms:
Hg 0.1765 0.0000 0.3228 [4 per cell]
Rh 0.0000 0.5000 0.0000 [2 per cell]
Cl 0.0234 0.5000 0.2476 [4 per cell]
Cl 0.1258 0.0000 0.0353 [4 per cell]
Cl 0.1790 0.0000 0.6053 [4 per cell]

=====

> The highest DOS at the Fermi energy belongs to which entry?

number 1

=====

> Which of these has the lowest ρ?

Hg2RhCl6

=====

> formation energy from raw total energies of number 1 (HgRh2Cl)?

615 meV/atom